[1]
# CaGdErCd

A relaxed structure of CaGdErCd (PBE-GGA, the Alexandria database).

The structure in CIF format:
```
data_CaGdErCd
_chemical_formula_sum 'Ca4 Gd4 Er4 Cd4'
_cell_length_a 7.7858
_cell_length_b 7.7858
_cell_length_c 7.7858
_cell_angle_alpha 90.00
_cell_angle_beta 90.00
_cell_angle_gamma 90.00
_symmetry_space_group_name_H-M 'F -4 3 m'
_symmetry_Int_Tables_number 216
_symmetry_space_group_name_Hall 'F -4 2 3'
loop_
_atom_site_label
_atom_site_type_symbol
_atom_site_fract_x
_atom_site_fract_y
_atom_site_fract_z
Ca1 Ca 0.0000 0.0000 0.0000
Gd1 Gd 0.2500 0.2500 0.2500
Er1 Er 0.2500 0.2500 0.7500
Cd1 Cd 0.0000 0.0000 0.5000
```

Spin magnetization, μB per atom: 1.845
DFT total energy, eV for the cell shown: -86.35
ΔE_f, eV per atom: -0.007

=====

[2]
# CaEr2CdHg4

A relaxed structure of CaEr2CdHg4 (PBE-GGA, the Alexandria database).

The structure in CIF format:
```
data_CaEr2CdHg4
_chemical_formula_sum 'Ca3 Er6 Cd3 Hg12'
_cell_length_a 5.1551
_cell_length_b 5.1551
_cell_length_c 25.5527
_cell_angle_alpha 90.00
_cell_angle_beta 90.00
_cell_angle_gamma 120.00
_symmetry_space_group_name_H-M 'R -3 m'
_symmetry_Int_Tables_number 166
_symmetry_space_group_name_Hall '-R 3 2"'
loop_
_atom_site_label
_atom_site_type_symbol
_atom_site_fract_x
_atom_site_fract_y
_atom_site_fract_z
Ca1 Ca 0.0000 0.0000 0.0000
Er1 Er 0.0000 0.0000 0.2447
Cd1 Cd 0.0000 0.0000 0.5000
Hg1 Hg 0.0000 0.0000 0.1230
Hg2 Hg 0.0000 0.0000 0.3721
```

Spin magnetization, μB per atom: 0.000
DFT total energy, eV for the cell shown: -49.93
ΔE_f, eV per atom: -0.424

=====

[3]
# Ca2ErCdHg6

A relaxed structure of Ca2ErCdHg6 (PBE-GGA, the Alexandria database).

The structure in CIF format:
```
data_Ca2ErCdHg6
_chemical_formula_sum 'Ca8 Er4 Cd4 Hg24'
_cell_length_a 11.1108
_cell_length_b 11.1108
_cell_length_c 11.1108
_cell_angle_alpha 90.00
_cell_angle_beta 90.00
_cell_angle_gamma 90.00
_symmetry_space_group_name_H-M 'F m -3 m'
_symmetry_Int_Tables_number 225
_symmetry_space_group_name_Hall '-F 4 2 3'
loop_
_atom_site_label
_atom_site_type_symbol
_atom_site_fract_x
_atom_site_fract_y
_atom_site_fract_z
Ca1 Ca 0.2500 0.2500 0.2500
Er1 Er 0.0000 0.0000 0.0000
Cd1 Cd 0.0000 0.0000 0.5000
Hg1 Hg 0.0000 0.0000 0.2536
```

Spin magnetization, μB per atom: 0.000
DFT total energy, eV for the cell shown: -44.96
ΔE_f, eV per atom: 0.005

=====

[4]
# CaErCdIr

A relaxed structure of CaErCdIr (PBE-GGA, the Alexandria database).

The structure in CIF format:
```
data_CaErCdIr
_chemical_formula_sum 'Ca4 Er4 Cd4 Ir4'
_cell_length_a 7.0970
_cell_length_b 7.0970
_cell_length_c 7.0970
_cell_angle_alpha 90.00
_cell_angle_beta 90.00
_cell_angle_gamma 90.00
_symmetry_space_group_name_H-M 'F -4 3 m'
_symmetry_Int_Tables_number 216
_symmetry_space_group_name_Hall 'F -4 2 3'
loop_
_atom_site_label
_atom_site_type_symbol
_atom_site_fract_x
_atom_site_fract_y
_atom_site_fract_z
Ca1 Ca 0.0000 0.0000 0.0000
Er1 Er 0.0000 0.0000 0.5000
Cd1 Cd 0.2500 0.2500 0.7500
Ir1 Ir 0.2500 0.2500 0.2500
```

Spin magnetization, μB per atom: 0.000
DFT total energy, eV for the cell shown: -71.74
ΔE_f, eV per atom: -0.398

=====

[5]
# CaLaEr2Cd4

A relaxed structure of CaLaEr2Cd4 (PBE-GGA, the Alexandria database).

The structure in CIF format:
```
data_CaLaEr2Cd4
_chemical_formula_sum 'Ca3 La3 Er6 Cd12'
_cell_length_a 5.3681
_cell_length_b 5.3681
_cell_length_c 26.3673
_cell_angle_alpha 90.00
_cell_angle_beta 90.00
_cell_angle_gamma 120.00
_symmetry_space_group_name_H-M 'R -3 m'
_symmetry_Int_Tables_number 166
_symmetry_space_group_name_Hall '-R 3 2"'
loop_
_atom_site_label
_atom_site_type_symbol
_atom_site_fract_x
_atom_site_fract_y
_atom_site_fract_z
Ca1 Ca 0.0000 0.0000 0.0000
La1 La 0.0000 0.0000 0.5000
Er1 Er 0.0000 0.0000 0.2514
Cd1 Cd 0.0000 0.0000 0.1230
Cd2 Cd 0.0000 0.0000 0.3741
```

Spin magnetization, μB per atom: 0.000
DFT total energy, eV for the cell shown: -66.72
ΔE_f, eV per atom: -0.316

=====

[6]
# LiCaErCd

A relaxed structure of LiCaErCd (PBE-GGA, the Alexandria database).

The structure in CIF format:
```
data_LiCaErCd
_chemical_formula_sum 'Li4 Ca4 Er4 Cd4'
_cell_length_a 7.5178
_cell_length_b 7.5178
_cell_length_c 7.5178
_cell_angle_alpha 90.00
_cell_angle_beta 90.00
_cell_angle_gamma 90.00
_symmetry_space_group_name_H-M 'F -4 3 m'
_symmetry_Int_Tables_number 216
_symmetry_space_group_name_Hall 'F -4 2 3'
loop_
_atom_site_label
_atom_site_type_symbol
_atom_site_fract_x
_atom_site_fract_y
_atom_site_fract_z
Li1 Li 0.0000 0.0000 0.0000
Ca1 Ca 0.2500 0.2500 0.2500
Er1 Er 0.2500 0.2500 0.7500
Cd1 Cd 0.0000 0.0000 0.5000
```

Spin magnetization, μB per atom: 0.000
DFT total energy, eV for the cell shown: -39.56
ΔE_f, eV per atom: -0.124

=====

[7]
# CaErLuCd

A relaxed structure of CaErLuCd (PBE-GGA, the Alexandria database).

The structure in CIF format:
```
data_CaErLuCd
_chemical_formula_sum 'Ca4 Er4 Lu4 Cd4'
_cell_length_a 7.7451
_cell_length_b 7.7451
_cell_length_c 7.7451
_cell_angle_alpha 90.00
_cell_angle_beta 90.00
_cell_angle_gamma 90.00
_symmetry_space_group_name_H-M 'F -4 3 m'
_symmetry_Int_Tables_number 216
_symmetry_space_group_name_Hall 'F -4 2 3'
loop_
_atom_site_label
_atom_site_type_symbol
_atom_site_fract_x
_atom_site_fract_y
_atom_site_fract_z
Ca1 Ca 0.0000 0.0000 0.0000
Er1 Er 0.0000 0.0000 0.5000
Lu1 Lu 0.2500 0.2500 0.7500
Cd1 Cd 0.2500 0.2500 0.2500
```

Spin magnetization, μB per atom: 0.000
DFT total energy, eV for the cell shown: -47.82
ΔE_f, eV per atom: 0.011

=====

[8]
# Ca2ErMg2Cd5

A relaxed structure of Ca2ErMg2Cd5 (PBE-GGA, the Alexandria database).

The structure in CIF format:
```
data_Ca2ErMg2Cd5
_chemical_formula_sum 'Ca4 Er2 Mg4 Cd10'
_cell_length_a 10.7440
_cell_length_b 10.7440
_cell_length_c 4.4023
_cell_angle_alpha 90.00
_cell_angle_beta 90.00
_cell_angle_gamma 90.00
_symmetry_space_group_name_H-M 'P 4/m b m'
_symmetry_Int_Tables_number 127
_symmetry_space_group_name_Hall '-P 4 2ab'
loop_
_atom_site_label
_atom_site_type_symbol
_atom_site_fract_x
_atom_site_fract_y
_atom_site_fract_z
Ca1 Ca 0.1793 0.3207 0.0000
Er1 Er 0.0000 0.0000 0.0000
Mg1 Mg 0.1169 0.6169 0.0000
Cd1 Cd 0.0000 0.5000 0.5000
Cd2 Cd 0.0549 0.7943 0.5000
```

Spin magnetization, μB per atom: 0.000
DFT total energy, eV for the cell shown: -37.33
ΔE_f, eV per atom: -0.233

=====

[9]
# Ca2ErMg12Cd3

A relaxed structure of Ca2ErMg12Cd3 (PBE-GGA, the Alexandria database).

The structure in CIF format:
```
data_Ca2ErMg12Cd3
_chemical_formula_sum 'Ca6 Er3 Mg36 Cd9'
_cell_length_a 10.6465
_cell_length_b 10.6465
_cell_length_c 14.4185
_cell_angle_alpha 90.00
_cell_angle_beta 90.00
_cell_angle_gamma 120.00
_symmetry_space_group_name_H-M 'R -3 m'
_symmetry_Int_Tables_number 166
_symmetry_space_group_name_Hall '-R 3 2"'
loop_
_atom_site_label
_atom_site_type_symbol
_atom_site_fract_x
_atom_site_fract_y
_atom_site_fract_z
Ca1 Ca 0.0000 0.0000 0.1312
Er1 Er 0.0000 0.0000 0.5000
Mg1 Mg 0.0016 0.5008 0.1974
Mg2 Mg 0.0279 0.5139 0.3976
Cd1 Cd 0.0000 0.5000 0.0000
```

Spin magnetization, μB per atom: 0.000
DFT total energy, eV for the cell shown: -86.10
ΔE_f, eV per atom: 0.097

=====

[10]
# NaCaErCd

A relaxed structure of NaCaErCd (PBE-GGA, the Alexandria database).

The structure in CIF format:
```
data_NaCaErCd
_chemical_formula_sum 'Na4 Ca4 Er4 Cd4'
_cell_length_a 7.7261
_cell_length_b 7.7261
_cell_length_c 7.7261
_cell_angle_alpha 90.00
_cell_angle_beta 90.00
_cell_angle_gamma 90.00
_symmetry_space_group_name_H-M 'F -4 3 m'
_symmetry_Int_Tables_number 216
_symmetry_space_group_name_Hall 'F -4 2 3'
loop_
_atom_site_label
_atom_site_type_symbol
_atom_site_fract_x
_atom_site_fract_y
_atom_site_fract_z
Na1 Na 0.0000 0.0000 0.0000
Ca1 Ca 0.2500 0.2500 0.2500
Er1 Er 0.2500 0.2500 0.7500
Cd1 Cd 0.0000 0.0000 0.5000
```

Spin magnetization, μB per atom: 0.000
DFT total energy, eV for the cell shown: -35.28
ΔE_f, eV per atom: -0.005

=====

[11]
# CaNdEr2Cd4

A relaxed structure of CaNdEr2Cd4 (PBE-GGA, the Alexandria database).

The structure in CIF format:
```
data_CaNdEr2Cd4
_chemical_formula_sum 'Ca3 Nd3 Er6 Cd12'
_cell_length_a 5.3401
_cell_length_b 5.3401
_cell_length_c 26.1580
_cell_angle_alpha 90.00
_cell_angle_beta 90.00
_cell_angle_gamma 120.00
_symmetry_space_group_name_H-M 'R -3 m'
_symmetry_Int_Tables_number 166
_symmetry_space_group_name_Hall '-R 3 2"'
loop_
_atom_site_label
_atom_site_type_symbol
_atom_site_fract_x
_atom_site_fract_y
_atom_site_fract_z
Ca1 Ca 0.0000 0.0000 0.0000
Nd1 Nd 0.0000 0.0000 0.5000
Er1 Er 0.0000 0.0000 0.2511
Cd1 Cd 0.0000 0.0000 0.1246
Cd2 Cd 0.0000 0.0000 0.3750
```

Spin magnetization, μB per atom: 0.000
DFT total energy, eV for the cell shown: -66.34
ΔE_f, eV per atom: -0.320

=====

[12]
# CaNdErCd

A relaxed structure of CaNdErCd (PBE-GGA, the Alexandria database).

The structure in CIF format:
```
data_CaNdErCd
_chemical_formula_sum 'Ca1 Nd1 Er1 Cd1'
_cell_length_a 3.6375
_cell_length_b 3.6375
_cell_length_c 9.4601
_cell_angle_alpha 90.00
_cell_angle_beta 90.00
_cell_angle_gamma 90.00
_symmetry_space_group_name_H-M 'P 4 m m'
_symmetry_Int_Tables_number 99
loop_
_symmetry_equiv_pos_as_xyz
'x,y,z'
'-y,x,z'
'-x,-y,z'
'y,-x,z'
'-x,y,z'
'y,x,z'
'x,-y,z'
'-y,-x,z'
loop_
_atom_site_label
_atom_site_type_symbol
_atom_site_fract_x
_atom_site_fract_y
_atom_site_fract_z
Ca1 Ca 0.0000 0.0000 0.0000
Nd1 Nd 0.5000 0.5000 0.3122
Er1 Er 0.0000 0.0000 0.5717
Cd1 Cd 0.5000 0.5000 0.7753
```

Spin magnetization, μB per atom: 0.000
DFT total energy, eV for the cell shown: -12.82
Offset from the most stable computed form, meV/atom: 0
ΔE_f, eV per atom: -0.142